## LaTlP2Se6 (GGA-PBEsol)

Data for crystalline LaTlP2Se6 at its relaxed geometry.

Formation energy from raw total energies ... -677 meV per atom
Uncorrected energy ... -4.943 eV per atom
Spin magnetization ... 0.00 μB/atom

abc: 7.742 11.726 12.167
angles: 109.71 90.00 90.00
Sites, in units of the cell vectors:
P1 0.401 0.751 0.321
Tl1 0.594 0.627 0.870
P2 0.599 0.249 0.679
Se1 0.016 0.628 0.896
Se2 0.211 0.923 0.879
P3 0.901 0.749 0.679
Se3 0.710 0.867 0.794
Se4 0.527 0.679 0.448
P4 0.117 0.736 0.796
Se5 0.697 0.063 0.591
P5 0.617 0.764 0.204
Se6 0.684 0.363 0.329
La1 0.104 0.406 0.652
Se7 0.711 0.577 0.121
Se8 0.027 0.821 0.552
Tl2 0.094 0.873 0.130
Se9 0.973 0.179 0.448
Se10 0.473 0.321 0.552
Se11 0.803 0.563 0.591
Tl3 0.406 0.373 0.130
P6 0.099 0.251 0.321
La2 0.604 0.094 0.348
Se12 0.984 0.372 0.104
Se13 0.316 0.637 0.671
Se14 0.516 0.872 0.104
Se15 0.484 0.128 0.896
Se16 0.816 0.863 0.329
Se17 0.290 0.133 0.206
La3 0.896 0.594 0.348
Se18 0.197 0.437 0.409
Se19 0.790 0.367 0.794
P7 0.883 0.264 0.204
Se20 0.789 0.077 0.121
La4 0.396 0.906 0.652
Se21 0.303 0.937 0.409
Se22 0.210 0.633 0.206
Se23 0.184 0.137 0.671
Se24 0.289 0.423 0.879
Tl4 0.906 0.127 0.870
P8 0.383 0.236 0.796